Entry 1:
Ba3Nd2TmTe6 (GGA-PBE, relaxed); density = 6.204 g cm⁻³; spin magnetization = 0.00 μB/atom; formation energy (no corrections) = -1.543 eV/atom
1.0
4.016 -6.942 0.000
4.016 6.942 0.000
-2.677 0.000 7.847
Ba Nd Tm Te
3 2 1 6
Direct
0.000 0.000 0.000
0.329 0.671 0.000
0.671 0.329 0.000
0.165 0.835 0.500
0.835 0.165 0.500
0.500 0.500 0.500
0.105 0.428 0.282
0.252 0.252 0.722
0.428 0.105 0.282
0.572 0.895 0.718
0.748 0.748 0.278
0.895 0.572 0.718

Entry 2:
PmSm7Er2 (GGA-PBE, relaxed); density = 6.493 g cm⁻³; spin magnetization = 0.00 μB/atom; energy above the most stable polymorph in this dataset = 0.003 eV per atom; E_form = 0.664 eV/atom
1.0
4.417 -7.678 0.000
4.417 7.678 0.000
0.000 0.000 5.777
Pm Sm Er
1 7 2
Direct
0.000 0.000 0.000
0.077 0.299 0.500
0.299 0.077 0.500
0.347 0.653 0.000
0.500 0.500 0.500
0.653 0.347 0.000
0.701 0.923 0.500
0.923 0.701 0.500
0.283 0.717 0.500
0.717 0.283 0.500

Entry 3:
RbBa2Ga (GGA-PBE, relaxed); density = 3.381 g cm⁻³; spin magnetization = 0.00 μB/atom; E_form = -0.163 eV/atom
1.0
4.222 0.000 0.000
0.000 4.222 0.000
0.000 0.000 11.846
Rb Ba Ga
1 2 1
Direct
0.000 0.000 0.000
0.500 0.500 0.341
0.500 0.500 0.659
0.000 0.000 0.500

Entry 4:
Ce8CoIr3Br4 (GGA-PBE, relaxed); density = 7.841 g cm⁻³; spin magnetization = 0.45 μB/atom; formation energy (no corrections) = -0.967 eV/atom
1.0
4.076 2.353 7.639
-4.076 2.353 7.639
0.000 -4.707 7.639
Ce Co Ir Br
8 1 3 4
Direct
0.233 0.233 0.233
0.240 0.727 0.727
0.273 0.273 0.760
0.273 0.760 0.273
0.727 0.240 0.727
0.727 0.727 0.240
0.760 0.273 0.273
0.767 0.767 0.767
0.500 0.500 0.500
0.000 0.000 0.500
0.000 0.500 0.000
0.500 0.000 0.000
0.000 0.000 0.000
0.000 0.500 0.500
0.500 0.000 0.500
0.500 0.500 0.000

Entry 5:
NiHIr (GGA-PBE, relaxed); density = 14.468 g cm⁻³; spin magnetization = 0.07 μB/atom; energy above the most stable polymorph in this dataset = 0.035 eV per atom
1.0
2.730 0.000 0.000
-1.365 2.365 0.000
0.000 0.000 4.478
Ni H Ir
1 1 1
Direct
0.000 0.000 0.000
0.333 0.667 0.138
0.333 0.667 0.532

Entry 6:
VPtS3 (GGA-PBE, relaxed); density = 6.213 g cm⁻³; spin magnetization = 0.13 μB/atom; energy above the most stable polymorph in this dataset = 0.000 eV per atom; formation energy (no corrections) = 0.387 eV/atom
1.0
4.506 0.000 0.000
0.000 4.506 0.000
0.000 0.000 4.506
V Pt S
1 1 3
Direct
0.000 0.000 0.000
0.500 0.500 0.500
0.000 0.000 0.500
0.000 0.500 0.000
0.500 0.000 0.000

Entry 7:
NbRu3 (GGA-PBE, relaxed); density = 11.011 g cm⁻³; spin magnetization = 0.00 μB/atom; E_form = -0.082 eV/atom
1.0
3.894 0.000 0.000
0.000 3.894 0.000
0.000 0.000 7.879
Nb Ru
2 6
Direct
0.000 0.000 0.000
0.500 0.500 0.500
0.000 0.000 0.500
0.000 0.500 0.250
0.000 0.500 0.750
0.500 0.000 0.250
0.500 0.000 0.750
0.500 0.500 0.000

Entry 8:
MnCr2S4 (GGA-PBE, relaxed); density = 4.398 g cm⁻³; spin magnetization = 0.92 μB/atom; energy above the most stable polymorph in this dataset = 0.077 eV per atom; formation energy (no corrections) = -0.617 eV/atom
1.0
12.555 0.000 0.000
0.000 3.354 0.000
-2.463 0.000 5.150
Mn Cr S
2 4 8
Direct
0.000 0.000 0.000
0.500 0.500 0.000
0.244 0.500 0.687
0.256 0.000 0.313
0.744 0.000 0.687
0.756 0.500 0.313
0.117 0.000 0.462
0.146 0.500 0.986
0.354 0.000 0.014
0.383 0.500 0.538
0.617 0.500 0.462
0.646 0.000 0.986
0.854 0.500 0.014
0.883 0.000 0.538

Entry 9:
BeAg2Ir (GGA-PBE, relaxed); density = 12.128 g cm⁻³; spin magnetization = 0.00 μB/atom; E_form = 0.349 eV/atom
1.0
2.850 0.000 0.000
0.000 2.850 0.000
0.000 0.000 7.029
Be Ag Ir
1 2 1
Direct
0.000 0.000 0.000
0.500 0.500 0.212
0.500 0.500 0.788
0.000 0.000 0.500

Entry 10:
TaIr2Br (GGA-PBE, relaxed); density = 14.596 g cm⁻³; spin magnetization = 0.00 μB/atom; energy above the most stable polymorph in this dataset = 0.398 eV per atom; formation energy (no corrections) = 0.349 eV/atom
1.0
2.905 0.000 0.000
0.000 2.905 0.000
0.000 0.000 8.700
Ta Ir Br
1 2 1
Direct
0.000 0.000 0.000
0.000 0.000 0.573
0.500 0.500 0.783
0.500 0.500 0.206

Entry 11:
AcMg5Ge3 (GGA-PBE, relaxed); density = 4.452 g cm⁻³; spin magnetization = 0.00 μB/atom; E_form = -0.327 eV/atom
1.0
2.243 -7.396 0.000
2.243 7.396 0.000
0.000 0.000 12.735
Ac Mg Ge
2 10 6
Direct
0.134 0.866 0.750
0.866 0.134 0.250
0.000 0.000 0.000
0.000 0.000 0.500
0.196 0.804 0.062
0.196 0.804 0.438
0.445 0.555 0.639
0.445 0.555 0.861
0.555 0.445 0.139
0.555 0.445 0.361
0.804 0.196 0.562
0.804 0.196 0.938
0.098 0.902 0.250
0.378 0.622 0.059
0.378 0.622 0.441
0.622 0.378 0.559
0.622 0.378 0.941
0.902 0.098 0.750

Entry 12:
Er2Ga3SiNi4 (GGA-PBE, relaxed); density = 8.475 g cm⁻³; spin magnetization = 0.00 μB/atom; formation energy (no corrections) = -0.618 eV/atom
1.0
3.954 0.000 0.000
0.000 3.954 0.000
0.000 0.000 10.107
Er Ga Si Ni
2 3 1 4
Direct
0.000 0.500 0.240
0.500 0.000 0.760
0.000 0.000 0.000
0.000 0.500 0.635
0.500 0.000 0.365
0.500 0.500 0.000
0.000 0.000 0.500
0.000 0.500 0.871
0.500 0.000 0.129
0.500 0.500 0.500